Entry 1:
# TcW

TcW after structural relaxation (PBE, Alexandria via LeMat-Bulk).

Values from the calculation:
Crystal system   cubic
Energy above the most stable polymorph in this dataset   0.011 eV per atom
Total magnetic moment   0.00 μB/f.u.
DOS at the Fermi energy   1.806 states/eV/cell
ΔH_f (0 K)   0.15 eV/f.u.
Energy   -23.169 eV per formula unit

Geometry as CIF:
```
data_TcW
_symmetry_space_group_name_H-M 'P m -3 m'
_symmetry_Int_Tables_number 221
_symmetry_space_group_name_Hall '-P 4 2 3'
_cell_length_a 3.134
_cell_length_b 3.134
_cell_length_c 3.134
_cell_angle_alpha 90.00
_cell_angle_beta 90.00
_cell_angle_gamma 90.00
loop_
_atom_site_label
_atom_site_type_symbol
_atom_site_fract_x
_atom_site_fract_y
_atom_site_fract_z
Tc1 Tc 0.000 0.000 0.000
W1 W 0.500 0.500 0.500
```

***

Entry 2:
# MgZrCr3

MgZrCr3 after structural relaxation (PBE, Alexandria via LeMat-Bulk).

Values from the calculation:
Crystal system   cubic
Energy above the most stable polymorph in this dataset   0.005 eV per atom
Total magnetic moment   9.83 μB/f.u.
DOS at the Fermi energy   3.627 states/eV/cell
ΔH_f (0 K)   7.48 eV/f.u.
Energy   -31.529 eV per formula unit

Geometry as CIF:
```
data_MgZrCr3
_symmetry_space_group_name_H-M 'P m -3 m'
_symmetry_Int_Tables_number 221
_symmetry_space_group_name_Hall '-P 4 2 3'
_cell_length_a 4.849
_cell_length_b 4.849
_cell_length_c 4.849
_cell_angle_alpha 90.00
_cell_angle_beta 90.00
_cell_angle_gamma 90.00
loop_
_atom_site_label
_atom_site_type_symbol
_atom_site_fract_x
_atom_site_fract_y
_atom_site_fract_z
Mg1 Mg 0.000 0.000 0.000
Zr1 Zr 0.500 0.500 0.500
Cr1 Cr 0.000 0.500 0.500
```

***

Entry 3:
# NbBiPb2C

NbBiPb2C after structural relaxation (PBE, Alexandria via LeMat-Bulk).

Values from the calculation:
Crystal system   tetragonal
Total magnetic moment   0.34 μB/f.u.
DOS at the Fermi energy   13.521 states/eV/cell
ΔH_f (0 K)   10.88 eV/f.u.
Energy   -19.707 eV per formula unit

Geometry as CIF:
```
data_NbBiPb2C
_symmetry_space_group_name_H-M 'P 4/m m m'
_symmetry_Int_Tables_number 123
_symmetry_space_group_name_Hall '-P 4 2'
_cell_length_a 5.997
_cell_length_b 5.997
_cell_length_c 4.285
_cell_angle_alpha 90.00
_cell_angle_beta 90.00
_cell_angle_gamma 90.00
loop_
_atom_site_label
_atom_site_type_symbol
_atom_site_fract_x
_atom_site_fract_y
_atom_site_fract_z
Nb1 Nb 0.000 0.000 0.000
Bi1 Bi 0.500 0.500 0.500
Pb1 Pb 0.000 0.500 0.500
C1 C 0.500 0.500 0.000
```

***

Entry 4:
# BaMnTe2

BaMnTe2 after structural relaxation (PBE, Alexandria via LeMat-Bulk).

Values from the calculation:
Crystal system   cubic
Total magnetic moment   4.99 μB/f.u.
DOS at the Fermi energy   5.878 states/eV/cell
Uncorrected formation energy   -92 meV per atom
Energy   -17.745 eV per formula unit

Geometry as CIF:
```
data_BaMnTe2
_symmetry_space_group_name_H-M 'F -4 3 m'
_symmetry_Int_Tables_number 216
_symmetry_space_group_name_Hall 'F -4 2 3'
_cell_length_a 7.943
_cell_length_b 7.943
_cell_length_c 7.943
_cell_angle_alpha 90.00
_cell_angle_beta 90.00
_cell_angle_gamma 90.00
loop_
_atom_site_label
_atom_site_type_symbol
_atom_site_fract_x
_atom_site_fract_y
_atom_site_fract_z
Ba1 Ba 0.000 0.000 0.000
Mn1 Mn 0.250 0.250 0.750
Te1 Te 0.000 0.000 0.500
Te2 Te 0.250 0.250 0.250
```

***

Entry 5:
# Rb2NaRuCl6

Rb2NaRuCl6 after structural relaxation (PBE, Alexandria via LeMat-Bulk).

Values from the calculation:
Crystal system   orthorhombic
Total magnetic moment   1.01 μB/f.u.
DOS at the Fermi energy   17.724 states/eV/cell
Uncorrected formation energy   -1349 meV per atom
Energy   -37.101 eV per formula unit

Geometry as CIF:
```
data_Rb2NaRuCl6
_symmetry_space_group_name_H-M 'P m m n'
_symmetry_Int_Tables_number 59
_cell_length_a 7.281
_cell_length_b 10.296
_cell_length_c 7.281
_cell_angle_alpha 90.00
_cell_angle_beta 90.00
_cell_angle_gamma 90.00
loop_
_symmetry_equiv_pos_as_xyz
'x,y,z'
'-x,-y,-z'
'-x+1/2,-y+1/2,z'
'x+1/2,y+1/2,-z'
'x+1/2,-y,-z'
'-x+1/2,y,z'
'-x,y+1/2,-z'
'x,-y+1/2,z'
loop_
_atom_site_label
_atom_site_type_symbol
_atom_site_fract_x
_atom_site_fract_y
_atom_site_fract_z
Rb1 Rb 0.250 0.000 0.250
Na1 Na 0.250 0.250 0.750
Ru1 Ru 0.250 0.750 0.750
Cl1 Cl 0.018 0.750 0.518
Cl2 Cl 0.018 0.750 0.981
Cl3 Cl 0.250 0.518 0.750
```

***

Entry 6:
# Na2SrCu

Na2SrCu after structural relaxation (PBE, Alexandria via LeMat-Bulk).

Values from the calculation:
Crystal system   tetragonal
Energy above the most stable polymorph in this dataset   0.000 eV per atom
Total magnetic moment   0.00 μB/f.u.
DOS at the Fermi energy   8.597 states/eV/cell
ΔH_f (0 K)   0.77 eV/f.u.
Energy   -7.643 eV per formula unit

Geometry as CIF:
```
data_Na2SrCu
_symmetry_space_group_name_H-M 'I -4 2 d'
_symmetry_Int_Tables_number 122
_symmetry_space_group_name_Hall 'I -4 2bw'
_cell_length_a 4.507
_cell_length_b 4.507
_cell_length_c 25.091
_cell_angle_alpha 90.00
_cell_angle_beta 90.00
_cell_angle_gamma 90.00
loop_
_atom_site_label
_atom_site_type_symbol
_atom_site_fract_x
_atom_site_fract_y
_atom_site_fract_z
Na1 Na 0.218 0.250 0.125
Sr1 Sr 0.000 0.000 0.500
Cu1 Cu 0.000 0.000 0.000
```

***

Entry 7:
# CaCrNi

CaCrNi after structural relaxation (PBE, Alexandria via LeMat-Bulk).

Values from the calculation:
Crystal system   hexagonal
Energy above the most stable polymorph in this dataset   0.152 eV per atom
Total magnetic moment   4.11 μB/f.u.
DOS at the Fermi energy   2.551 states/eV/cell
ΔH_f (0 K)   1.11 eV/f.u.
Energy   -16.301 eV per formula unit

Geometry as CIF:
```
data_CaCrNi
_symmetry_space_group_name_H-M 'P 63/m m c'
_symmetry_Int_Tables_number 194
_symmetry_space_group_name_Hall '-P 6c 2c'
_cell_length_a 4.1929
_cell_length_b 4.1929
_cell_length_c 8.1987
_cell_angle_alpha 90.00
_cell_angle_beta 90.00
_cell_angle_gamma 120.00
loop_
_atom_site_label
_atom_site_type_symbol
_atom_site_fract_x
_atom_site_fract_y
_atom_site_fract_z
Ca1 Ca 0.0000 0.0000 0.0000
Cr1 Cr 0.3333 0.6667 0.2500
Ni1 Ni 0.3333 0.6667 0.7500
```

***

Entry 8:
# LiBe2As2

LiBe2As2 after structural relaxation (PBE, Alexandria via LeMat-Bulk).

Values from the calculation:
Crystal system   tetragonal
Energy above the most stable polymorph in this dataset   0.306 eV per atom
Total magnetic moment   0.00 μB/f.u.
DOS at the Fermi energy   2.749 states/eV/cell
ΔH_f (0 K)   0.38 eV/f.u.
Energy   -18.285 eV per formula unit

Geometry as CIF:
```
data_LiBe2As2
_symmetry_space_group_name_H-M 'P 4/m b m'
_symmetry_Int_Tables_number 127
_symmetry_space_group_name_Hall '-P 4 2ab'
_cell_length_a 6.833
_cell_length_b 6.833
_cell_length_c 3.029
_cell_angle_alpha 90.00
_cell_angle_beta 90.00
_cell_angle_gamma 90.00
loop_
_atom_site_label
_atom_site_type_symbol
_atom_site_fract_x
_atom_site_fract_y
_atom_site_fract_z
Li1 Li 0.000 0.000 0.000
Be1 Be 0.118 0.382 0.000
As1 As 0.176 0.676 0.500
```

***

Entry 9:
# Sc3Cd2

Sc3Cd2 after structural relaxation (PBE, Alexandria via LeMat-Bulk).

Values from the calculation:
Crystal system   tetragonal
Energy above the most stable polymorph in this dataset   0.000 eV per atom
Total magnetic moment   0.02 μB/f.u.
DOS at the Fermi energy   12.232 states/eV/cell
ΔH_f (0 K)   -1.07 eV/f.u.
Energy   -21.899 eV per formula unit

Geometry as CIF:
```
data_Sc3Cd2
_symmetry_space_group_name_H-M 'P 4/m m m'
_symmetry_Int_Tables_number 123
_symmetry_space_group_name_Hall '-P 4 2'
_cell_length_a 3.393
_cell_length_b 3.393
_cell_length_c 19.732
_cell_angle_alpha 90.00
_cell_angle_beta 90.00
_cell_angle_gamma 90.00
loop_
_atom_site_label
_atom_site_type_symbol
_atom_site_fract_x
_atom_site_fract_y
_atom_site_fract_z
Sc1 Sc 0.000 0.000 0.000
Sc2 Sc 0.000 0.000 0.192
Sc3 Sc 0.000 0.000 0.391
Sc4 Sc 0.500 0.500 0.500
Cd1 Cd 0.500 0.500 0.096
Cd2 Cd 0.500 0.500 0.291
```

***

Entry 10:
# La2Tb3Er2

La2Tb3Er2 after structural relaxation (PBE, Alexandria via LeMat-Bulk).

Values from the calculation:
Crystal system   monoclinic
Total magnetic moment   0.00 μB/f.u.
DOS at the Fermi energy   22.533 states/eV/cell
ΔH_f (0 K)   0.91 eV/f.u.
Energy   -31.962 eV per formula unit

Geometry as CIF:
```
data_La2Tb3Er2
_symmetry_space_group_name_H-M 'C 1 2/m 1'
_symmetry_Int_Tables_number 12
_cell_length_a 17.694
_cell_length_b 3.525
_cell_length_c 8.605
_cell_angle_alpha 90.00
_cell_angle_beta 118.94
_cell_angle_gamma 90.00
loop_
_symmetry_equiv_pos_as_xyz
'x,y,z'
'-x,-y,-z'
'-x,y,-z'
'x,-y,z'
'x+1/2,y+1/2,z'
'-x+1/2,-y+1/2,-z'
'-x+1/2,y+1/2,-z'
'x+1/2,-y+1/2,z'
loop_
_atom_site_label
_atom_site_type_symbol
_atom_site_fract_x
_atom_site_fract_y
_atom_site_fract_z
La1 La 0.066 0.000 0.217
Tb1 Tb 0.000 0.500 0.500
Tb2 Tb 0.212 0.500 0.627
Er1 Er 0.153 0.500 0.966
```

***

Entry 11:
# PmPr2Tm

PmPr2Tm after structural relaxation (PBE, Alexandria via LeMat-Bulk).

Values from the calculation:
Crystal system   cubic
Energy above the most stable polymorph in this dataset   0.103 eV per atom
Total magnetic moment   0.00 μB/f.u.
DOS at the Fermi energy   33.456 states/eV/cell
ΔH_f (0 K)   0.47 eV/f.u.
Energy   -18.309 eV per formula unit

Geometry as CIF:
```
data_PmPr2Tm
_symmetry_space_group_name_H-M 'F m -3 m'
_symmetry_Int_Tables_number 225
_symmetry_space_group_name_Hall '-F 4 2 3'
_cell_length_a 8.188
_cell_length_b 8.188
_cell_length_c 8.188
_cell_angle_alpha 90.00
_cell_angle_beta 90.00
_cell_angle_gamma 90.00
loop_
_atom_site_label
_atom_site_type_symbol
_atom_site_fract_x
_atom_site_fract_y
_atom_site_fract_z
Pm1 Pm 0.000 0.000 0.000
Pr1 Pr 0.250 0.250 0.250
Tm1 Tm 0.000 0.000 0.500
```

***

Entry 12:
# Sc2TlAgH

Sc2TlAgH after structural relaxation (PBE, Alexandria via LeMat-Bulk).

Values from the calculation:
Crystal system   tetragonal
Total magnetic moment   0.86 μB/f.u.
DOS at the Fermi energy   3.115 states/eV/cell
Energy   -22.611 eV per formula unit

Geometry as CIF:
```
data_Sc2TlAgH
_symmetry_space_group_name_H-M 'P 4/m m m'
_symmetry_Int_Tables_number 123
_symmetry_space_group_name_Hall '-P 4 2'
_cell_length_a 4.536
_cell_length_b 4.536
_cell_length_c 4.228
_cell_angle_alpha 90.00
_cell_angle_beta 90.00
_cell_angle_gamma 90.00
loop_
_atom_site_label
_atom_site_type_symbol
_atom_site_fract_x
_atom_site_fract_y
_atom_site_fract_z
Sc1 Sc 0.000 0.500 0.000
Tl1 Tl 0.000 0.000 0.500
Ag1 Ag 0.500 0.500 0.500
H1 H 0.500 0.500 0.000
```

***

Question: The highest DOS at the Fermi energy belongs to which entry?
Answer: PmPr2Tm

***

Question: Among the records above, which one has the highest DOS at the Fermi energy?
Answer: PmPr2Tm